No. 1
11
Lattice="4.6490 -6.5137 0.0000 4.6490 6.5137 0.0000 0.0000 0.0000 8.4508" Properties=species:S:1:pos:R:3 comment="Ba7Tl2Ag2 PBE optimized geometry" density_g_cm3=5.14 sg="No. 65" dft_energy_ry_per_atom=-0.171 formation_enthalpy_0k_mev_per_atom=-149 pbc="T T T"
Ba 0.0000 0.0000 0.0000
Ba 2.3245 3.2568 2.2709
Ba 2.3245 3.2568 6.1800
Ba 2.3245 -3.2568 2.2709
Ba 2.3245 -3.2568 6.1800
Ba 4.6490 0.0000 2.1924
Ba 4.6490 0.0000 6.2584
Tl 1.5367 0.0000 4.2254
Tl 7.7613 0.0000 4.2254
Ag 4.6490 2.6781 0.0000
Ag 4.6490 -2.6781 0.0000


No. 2
8
Lattice="-4.2830 4.2830 2.9942 4.2830 -4.2830 2.9942 4.2830 4.2830 -2.9942" Properties=species:S:1:pos:R:3 comment="YCd2Sb PBE optimized geometry" density_g_cm3=6.58 sg="No. 122" dft_energy_ry_per_atom=-0.248 raw_formation_energy_mev_per_atom=-270.7 pbc="T T T"
Y 0.0000 0.0000 0.0000
Y 0.0000 4.2830 1.4971
Cd 2.1415 2.3632 -0.7485
Cd 6.2028 2.1415 0.7485
Cd 2.1415 1.9198 2.2456
Cd -1.9198 2.1415 3.7427
Sb 4.2830 0.0000 1.4971
Sb 0.0000 0.0000 2.9942


No. 3
4
Lattice="3.6523 0.0000 0.0000 0.0000 3.6523 0.0000 0.0000 0.0000 7.6606" Properties=species:S:1:pos:R:3 comment="NdDyZnCd PBE optimized geometry" de_polymorph_mev_per_atom=0 density_g_cm3=7.87 sg="No. 99" dft_energy_ry_per_atom=-0.236 formation_enthalpy_0k_mev_per_atom=-324 pbc="T T T"
Nd 0.0000 0.0000 0.0000
Dy 0.0000 0.0000 3.5285
Zn 1.8261 1.8261 1.8919
Cd 1.8261 1.8261 5.4821


No. 4
12
Lattice="2.8359 -10.9445 0.0000 2.8359 10.9445 0.0000 0.0000 0.0000 6.5781" Properties=species:S:1:pos:R:3 comment="Nd4SnHg PBE optimized geometry" density_g_cm3=7.29 sg="No. 63" dft_energy_ry_per_atom=-0.307 formation_enthalpy_0k_mev_per_atom=-277 pbc="T T T"
Nd 2.8359 9.5902 4.9336
Nd 2.8359 6.3508 3.3304
Nd 2.8359 6.3508 6.5369
Nd 2.8359 2.6934 4.9336
Nd 2.8359 -2.6934 1.6445
Nd 2.8359 -6.3508 0.0413
Nd 2.8359 -6.3508 3.2478
Nd 2.8359 -9.5902 1.6445
Sn 2.8359 3.3852 1.6445
Sn 2.8359 -3.3852 4.9336
Hg 2.8359 9.2548 1.6445
Hg 2.8359 -9.2548 4.9336


No. 5
4
Lattice="3.8880 0.0000 0.0000 0.0000 3.7136 0.0000 0.0000 0.0000 5.1029" Properties=species:S:1:pos:R:3 comment="BeIn PBE optimized geometry" de_polymorph_mev_per_atom=198 density_g_cm3=5.58 sg="No. 51" dft_energy_ry_per_atom=-0.202 formation_enthalpy_0k_mev_per_atom=484 pbc="T T T"
Be 0.9720 0.0000 0.4418
Be 2.9160 0.0000 4.6611
In 0.9720 1.8568 3.7086
In 2.9160 1.8568 1.3943


No. 6
5
Lattice="-2.0510 2.0510 5.4703 2.0510 -2.0510 5.4703 2.0510 2.0510 -5.4703" Properties=species:S:1:pos:R:3 comment="ThPPt3 PBE optimized geometry" density_g_cm3=15.30 sg="No. 107" dft_energy_ry_per_atom=-0.532 formation_enthalpy_0k_mev_per_atom=-1041 pbc="T T T"
Th 0.0000 0.0000 0.0000
P 0.0000 0.0000 4.0416
Pt 2.0510 0.0000 2.8156
Pt 0.0000 0.0000 6.3460
Pt 0.0000 2.0510 2.8156


No. 7
9
Lattice="4.2850 0.0000 0.0000 0.0000 4.2850 0.0000 0.0000 0.0000 9.2393" Properties=species:S:1:pos:R:3 comment="LaTmAl2Pd5 PBE optimized geometry" density_g_cm3=8.75 sg="No. 123" dft_energy_ry_per_atom=-0.408 formation_enthalpy_0k_mev_per_atom=-797 pbc="T T T"
La 0.0000 0.0000 0.0000
Tm 0.0000 0.0000 4.6196
Al 2.1425 2.1425 3.3452
Al 2.1425 2.1425 5.8941
Pd 0.0000 2.1425 2.1453
Pd 0.0000 2.1425 7.0939
Pd 2.1425 0.0000 2.1453
Pd 2.1425 0.0000 7.0939
Pd 2.1425 2.1425 0.0000


No. 8
4
Lattice="3.3507 0.0000 0.0000 0.0000 3.3507 0.0000 0.0000 0.0000 6.1215" Properties=species:S:1:pos:R:3 comment="Sc2CuP PBE optimized geometry" density_g_cm3=4.46 sg="No. 123" dft_energy_ry_per_atom=-0.458 formation_enthalpy_0k_mev_per_atom=-684 pbc="T T T"
Sc 0.0000 0.0000 1.4627
Sc 0.0000 0.0000 4.6589
Cu 1.6754 1.6754 3.0608
P 1.6754 1.6754 0.0000


No. 9
6
Lattice="0.0000 4.1720 4.1720 4.1720 0.0000 4.1720 4.1720 4.1720 0.0000" Properties=species:S:1:pos:R:3 comment="YIn4Co PBE optimized geometry" density_g_cm3=6.94 sg="No. 216" dft_energy_ry_per_atom=-0.279 formation_enthalpy_0k_mev_per_atom=298 pbc="T T T"
Y 0.0000 0.0000 0.0000
In 3.1312 3.1312 3.1312
In 5.2127 5.2127 3.1312
In 5.2127 3.1312 5.2127
In 3.1312 5.2127 5.2127
Co 6.2579 6.2579 6.2579


Q: Which formula does entry 7 have?
A: LaTmAl2Pd5